Run A
{"formula": "NaTlGa", "functional": "PBE-GGA", "state": "optimized geometry", "lattice_angstrom": [[6.922, -2.128, 0.000], [6.922, 2.128, 0.000], [-0.972, 0.000, 5.628]], "species": ["Na", "Na", "Tl", "Tl", "Ga", "Ga"], "frac_coords": [[0.128, 0.128, 0.336], [0.872, 0.872, 0.664], [0.429, 0.429, 0.209], [0.571, 0.571, 0.791], [0.227, 0.227, 0.875], [0.773, 0.773, 0.125]]}

***

Run B
{"formula": "NaTlGa", "functional": "PBE-GGA", "state": "optimized geometry", "lattice_angstrom": [[7.968, -1.693, 0.000], [7.968, 1.693, 0.000], [-0.302, 0.000, 5.695]], "species": ["Na", "Na", "Tl", "Tl", "Ga", "Ga"], "frac_coords": [[0.000, 0.000, 0.000], [0.147, 0.147, 0.534], [0.472, 0.472, 0.488], [0.815, 0.815, 0.690], [0.314, 0.314, 0.189], [0.679, 0.679, 0.048]]}

***

Run C
{"formula": "NaTlGa", "functional": "PBE-GGA", "state": "optimized geometry", "lattice_angstrom": [[2.424, 1.400, 8.511], [-2.424, 1.400, 8.511], [0.000, -2.799, 8.511]], "species": ["Na", "Na", "Tl", "Tl", "Ga", "Ga"], "frac_coords": [[0.209, 0.209, 0.209], [0.791, 0.791, 0.791], [0.064, 0.064, 0.064], [0.936, 0.936, 0.936], [0.340, 0.340, 0.340], [0.660, 0.660, 0.660]]}

***

Order from most stable to least stable according to the calculation: run A, run B, run C

***

Run A
{"formula": "Na7Tl3Ga", "functional": "PBE-GGA", "state": "optimized geometry", "lattice_angstrom": [[7.013, 0.000, 0.000], [-3.506, 6.073, 0.000], [0.000, 0.000, 8.053]], "species": ["Na", "Na", "Na", "Na", "Na", "Na", "Na", "Tl", "Tl", "Tl", "Ga"], "frac_coords": [[0.000, 0.000, 0.000], [0.169, 0.337, 0.616], [0.169, 0.831, 0.616], [0.504, 0.007, 0.976], [0.504, 0.496, 0.976], [0.663, 0.831, 0.616], [0.993, 0.496, 0.976], [0.347, 0.174, 0.310], [0.826, 0.174, 0.310], [0.826, 0.653, 0.310], [0.667, 0.333, 0.629]]}

***

Run B
{"formula": "Na7Tl3Ga", "functional": "PBE-GGA", "state": "optimized geometry", "lattice_angstrom": [[1.803, -15.007, 0.000], [1.803, 15.007, 0.000], [0.000, 0.000, 11.941]], "species": ["Na", "Na", "Na", "Na", "Na", "Na", "Na", "Na", "Na", "Na", "Na", "Na", "Na", "Na", "Tl", "Tl", "Tl", "Tl", "Tl", "Tl", "Ga", "Ga"], "frac_coords": [[0.030, 0.970, 0.616], [0.030, 0.970, 0.884], [0.138, 0.862, 0.250], [0.141, 0.859, 0.554], [0.141, 0.859, 0.946], [0.273, 0.727, 0.609], [0.273, 0.727, 0.891], [0.727, 0.273, 0.109], [0.727, 0.273, 0.391], [0.859, 0.141, 0.054], [0.859, 0.141, 0.446], [0.862, 0.138, 0.750], [0.970, 0.030, 0.116], [0.970, 0.030, 0.384], [0.302, 0.698, 0.250], [0.435, 0.565, 0.611], [0.435, 0.565, 0.889], [0.565, 0.435, 0.111], [0.565, 0.435, 0.389], [0.698, 0.302, 0.750], [0.400, 0.600, 0.250], [0.600, 0.400, 0.750]]}

***

Order from most stable to least stable according to the calculation: run B, run A

***

Run A
{"formula": "Na2Tl2Ga", "functional": "PBE-GGA", "state": "optimized geometry", "lattice_angstrom": [[4.674, -2.527, 0.000], [4.674, 2.527, 0.000], [-3.840, 0.000, 5.528]], "species": ["Na", "Na", "Tl", "Tl", "Ga"], "frac_coords": [[0.205, 0.205, 0.102], [0.795, 0.795, 0.898], [0.391, 0.391, 0.688], [0.609, 0.609, 0.312], [0.000, 0.000, 0.500]]}

***

Run B
{"formula": "Na2Tl2Ga", "functional": "PBE-GGA", "state": "optimized geometry", "lattice_angstrom": [[-3.298, 7.310, 2.889], [3.298, -7.310, 2.889], [3.298, 7.310, -2.889]], "species": ["Na", "Na", "Na", "Na", "Tl", "Tl", "Tl", "Tl", "Ga", "Ga"], "frac_coords": [[0.102, 0.144, 0.246], [0.398, 0.644, 0.043], [0.602, 0.356, 0.957], [0.898, 0.856, 0.754], [0.178, 0.654, 0.831], [0.322, 0.154, 0.476], [0.678, 0.846, 0.524], [0.822, 0.346, 0.169], [0.250, 0.750, 0.500], [0.750, 0.250, 0.500]]}

***

Run C
{"formula": "Na2Tl2Ga", "functional": "PBE-GGA", "state": "optimized geometry", "lattice_angstrom": [[7.535, 0.000, 0.000], [0.000, 7.535, 0.000], [0.000, 0.000, 5.086]], "species": ["Na", "Na", "Na", "Na", "Tl", "Tl", "Tl", "Tl", "Ga", "Ga"], "frac_coords": [[0.167, 0.333, 0.000], [0.333, 0.833, 0.000], [0.667, 0.167, 0.000], [0.833, 0.667, 0.000], [0.145, 0.645, 0.500], [0.355, 0.145, 0.500], [0.645, 0.855, 0.500], [0.855, 0.355, 0.500], [0.000, 0.000, 0.500], [0.500, 0.500, 0.500]]}

***

Order from most stable to least stable according to the calculation: run A, run B, run C

***

Run A
{"formula": "NaTl3Ga", "functional": "PBE-GGA", "state": "optimized geometry", "lattice_angstrom": [[5.589, 0.000, 0.000], [0.000, 5.589, 0.000], [0.000, 0.000, 5.589]], "species": ["Na", "Tl", "Tl", "Tl", "Ga"], "frac_coords": [[0.000, 0.000, 0.000], [0.000, 0.000, 0.500], [0.000, 0.500, 0.000], [0.500, 0.000, 0.000], [0.500, 0.500, 0.500]]}

***

Run B
{"formula": "NaTl3Ga", "functional": "PBE-GGA", "state": "optimized geometry", "lattice_angstrom": [[5.599, 0.000, 0.000], [0.000, 5.599, 0.000], [0.000, 0.000, 5.599]], "species": ["Na", "Tl", "Tl", "Tl", "Ga"], "frac_coords": [[0.000, 0.000, 0.000], [0.000, 0.500, 0.500], [0.500, 0.000, 0.500], [0.500, 0.500, 0.000], [0.500, 0.500, 0.500]]}

***

Order from most stable to least stable according to the calculation: run B, run A

***

Run A
{"formula": "Na3TlGa", "functional": "PBE-GGA", "state": "optimized geometry", "lattice_angstrom": [[5.643, 0.000, 0.000], [0.000, 5.643, 0.000], [0.000, 0.000, 5.643]], "species": ["Na", "Na", "Na", "Tl", "Ga"], "frac_coords": [[0.000, 0.000, 0.500], [0.000, 0.500, 0.000], [0.500, 0.000, 0.000], [0.500, 0.500, 0.500], [0.000, 0.000, 0.000]]}

***

Run B
{"formula": "Na3TlGa", "functional": "PBE-GGA", "state": "optimized geometry", "lattice_angstrom": [[5.691, -4.677, 0.000], [5.691, 4.677, 0.000], [-4.855, 0.000, 5.958]], "species": ["Na", "Na", "Na", "Na", "Na", "Na", "Tl", "Tl", "Ga", "Ga"], "frac_coords": [[0.053, 0.053, 0.281], [0.100, 0.475, 0.824], [0.475, 0.100, 0.824], [0.525, 0.900, 0.176], [0.900, 0.525, 0.176], [0.947, 0.947, 0.719], [0.421, 0.421, 0.618], [0.579, 0.579, 0.382], [0.265, 0.265, 0.141], [0.735, 0.735, 0.859]]}

***

Run C
{"formula": "Na3TlGa", "functional": "PBE-GGA", "state": "optimized geometry", "lattice_angstrom": [[5.827, 0.000, 0.000], [0.000, 5.827, 0.000], [0.000, 0.000, 5.827]], "species": ["Na", "Na", "Na", "Tl", "Ga"], "frac_coords": [[0.000, 0.000, 0.500], [0.000, 0.500, 0.000], [0.500, 0.000, 0.000], [0.000, 0.000, 0.000], [0.500, 0.500, 0.500]]}

***

Order from most stable to least stable according to the calculation: run B, run A, run C